Entry from Alexandria: crystalline BTe3Au at its relaxed geometry (PBEsol).

Output
Relative energy among the computed polymorphs (meV/atom): 0
Volume (Å³ per cell): 110
Energy (eV/cell): -17.49
Energy relative to the elements, uncorrected (eV/atom): 0.81
Space-group type: Pm-3m, No. 221

a b c (Å): 4.7869 4.7869 4.7869
angles (deg): 90.00 90.00 90.00
Element x y z (fractional)
Au 0.5000 0.5000 0.5000
B 0.0000 0.0000 0.0000
Te 0.0000 0.5000 0.0000
Te 0.0000 0.0000 0.5000
Te 0.5000 0.0000 0.0000